Below is crystalline FeO at its relaxed geometry, with properties calculated at the GGA+U level.

## Properties
Magnetic moment   4.00 μB/f.u.
Density   5.6 g/cm³
Uncorrected energy   -6.658 eV per atom

Unit cell a=5.350 b=3.167 c=5.318 alpha=90.00 beta=108.94 gamma=90.00
Space group C2/m (No. 12)
Inequivalent atoms, fractional coordinates:
Fe 0.000 0.000 0.000
Fe 0.000 0.500 0.500
O 0.230 0.000 0.748